1.
First-principles (PBE-GGA) data for a geometry-optimized GdSiO3 structure, as listed in OQMD via LeMat-Bulk.

The structure belongs to space group P1 (No. 1); the cell edges are 4.699, 4.933 and 5.463 Å and the angles 68.58°, 69.13° and 86.34°. The inequivalent atoms are Gd at (0.000, 0.000, 0.000), Gd at (0.432, 0.451, 0.076), Si at (0.208, 0.728, 0.543), Si at (0.679, 0.173, 0.494), O at (0.008, 0.057, 0.551), O at (0.027, 0.609, 0.374), O at (0.437, 0.357, 0.680), O at (0.442, 0.852, 0.691), O at (0.474, 0.913, 0.183) and O at (0.960, 0.542, 0.887).

2.
First-principles (PBE-GGA) data for a geometry-optimized Tm2AlNiIr structure, as listed in OQMD via LeMat-Bulk.

The structure belongs to space group Imm2 (No. 44); the cell edges are 4.139, 8.315 and 5.533 Å and the angles 90.00°, 90.00° and 90.00°. The inequivalent atoms are Tm at (0.000, 0.200, 0.000), Al at (0.000, 0.000, 0.503), Ni at (0.000, 0.500, 0.253) and Ir at (0.000, 0.500, 0.725).

3.
First-principles (PBE-GGA) data for a geometry-optimized TcSbPt structure, as listed in OQMD via LeMat-Bulk.

Its energy above the most stable polymorph in this dataset is 0 meV per atom.

The structure belongs to space group F-43m (No. 216); the cell edges are 6.201, 6.201 and 6.201 Å and the angles 90.00°, 90.00° and 90.00°. The inequivalent atoms are Tc at (0.000, 0.000, 0.000), Sb at (0.250, 0.250, 0.250) and Pt at (0.250, 0.250, 0.750).

4.
First-principles (PBE-GGA) data for a geometry-optimized HfGaCoW structure, as listed in OQMD via LeMat-Bulk.

Its energy above the most stable polymorph in this dataset is 0 meV per atom.

The structure belongs to space group F-43m (No. 216); the cell edges are 6.293, 6.293 and 6.293 Å and the angles 90.00°, 90.00° and 90.00°. The inequivalent atoms are Hf at (0.000, 0.000, 0.000), Ga at (0.000, 0.000, 0.500), Co at (0.250, 0.250, 0.750) and W at (0.250, 0.250, 0.250).

5.
First-principles (PBE-GGA) data for a geometry-optimized Tm3Mg3Cd2Hg structure, as listed in OQMD via LeMat-Bulk.

The structure belongs to space group P-62m (No. 189); the cell edges are 7.5810, 7.5810 and 4.3837 Å and the angles 90.00°, 90.00° and 120.00°. The inequivalent atoms are Tm at (0.0000, 0.5867, 0.0000), Mg at (0.0000, 0.2445, 0.5000), Cd at (0.3333, 0.6667, 0.5000) and Hg at (0.0000, 0.0000, 0.0000).

6.
First-principles (PBE-GGA) data for a geometry-optimized GaFeCuHg structure, as listed in OQMD via LeMat-Bulk.

Its energy above the most stable polymorph in this dataset is 0 meV per atom.

The structure belongs to space group F-43m (No. 216); the cell edges are 6.245, 6.245 and 6.245 Å and the angles 90.00°, 90.00° and 90.00°. The inequivalent atoms are Ga at (0.000, 0.000, 0.000), Fe at (0.250, 0.250, 0.750), Cu at (0.250, 0.250, 0.250) and Hg at (0.000, 0.000, 0.500).

7.
First-principles (PBE-GGA) data for a geometry-optimized YIrW2 structure, as listed in OQMD via LeMat-Bulk.

Its formation enthalpy at 0 K is 52 kJ/mol of formula units.

The structure belongs to space group F-43m (No. 216); the cell edges are 6.556, 6.556 and 6.556 Å and the angles 90.00°, 90.00° and 90.00°. The inequivalent atoms are Y at (0.000, 0.000, 0.000), Ir at (0.250, 0.250, 0.250), W at (0.000, 0.000, 0.500) and W at (0.250, 0.250, 0.750).

8.
First-principles (PBE-GGA) data for a geometry-optimized ZrTe2 structure, as listed in OQMD via LeMat-Bulk.

The structure belongs to space group P6_3/mmc (No. 194); the cell edges are 3.9258, 3.9258 and 14.5008 Å and the angles 90.00°, 90.00° and 120.00°. The inequivalent atoms are Zr at (0.3333, 0.6667, 0.2500) and Te at (0.3333, 0.6667, 0.6212).

Magnetic moment (μB per atom)
0.0000 0.0000 0.0659 0.4699 0.0015 0.5816 0.0001 0.0003
Final energy (eV per atom)
-7.656 -6.219 -6.718 -8.092 -2.514 -3.584 -10.176 -5.721